# Ho2Er8Sc3

Ho2Er8Sc3 after structural relaxation (PBE, the Alexandria database).

energy above the most stable polymorph in this dataset: 38 meV/atom
ΔH_f (0 K): 0.232 eV per atom

Cell and atoms, written as POSCAR:
```
Ho2Er8Sc3
1.0
5.386 0.000 0.796
0.000 7.448 -0.001
-1.430 -3.726 9.658
Ho Er Sc
2 8 3
Cartesian
1.951 3.723 5.420 Ho
2.005 -0.001 5.033 Ho
1.556 1.574 8.078 Er
1.556 -1.576 8.078 Er
4.423 -0.001 7.294 Er
2.401 5.299 2.375 Er
-0.466 3.724 3.159 Er
5.023 -0.001 3.242 Er
-1.067 3.723 7.212 Er
2.401 2.149 2.375 Er
2.693 0.000 0.398 Sc
0.000 2.163 0.000 Sc
3.956 1.560 10.453 Sc
```



# NaCdBiPb

NaCdBiPb after structural relaxation (PBE, the Alexandria database).

energy above the most stable polymorph in this dataset: 0 meV/atom
ΔH_f (0 K): -0.112 eV per atom

Cell and atoms, written as POSCAR:
```
NaCdBiPb
1.0
-0.570 -0.499 -5.474
-2.933 -4.185 -2.102
-4.897 0.973 -2.369
Na Pb Cd Bi
1 1 1 1
Cartesian
-2.100 -0.928 -2.486 Na
-6.299 -2.784 -7.459 Pb
0.000 0.000 0.000 Cd
-4.200 -1.856 -4.972 Bi
```



# Na3SmF6

Na3SmF6 after structural relaxation (PBE, the Alexandria database).

energy above the most stable polymorph in this dataset: 20 meV/atom
raw formation energy: -3.2378 eV per atom

Cell and atoms, written as POSCAR:
```
Na3SmF6
1.0
4.020 0.000 0.000
0.000 6.156 0.000
0.000 0.000 11.791
F Na Sm
12 6 2
Cartesian
2.010 3.455 8.250 F
2.010 0.984 6.892 F
0.000 2.094 0.996 F
4.020 5.778 2.354 F
2.010 2.700 3.541 F
2.010 5.172 4.900 F
2.011 1.033 11.058 F
2.010 5.123 0.733 F
4.021 4.062 10.796 F
4.020 4.111 6.629 F
0.000 2.045 5.163 F
0.000 0.378 9.437 F
4.021 2.685 8.964 Na
2.010 5.763 8.723 Na
2.010 0.392 3.069 Na
0.000 0.000 5.896 Na
0.000 3.470 2.827 Na
2.010 3.078 0.000 Na
2.010 3.078 5.896 Sm
0.000 0.000 0.000 Sm
```



# Cu4SIBr2

Cu4SIBr2 after structural relaxation (PBE, the Alexandria database).

raw formation energy: -0.2179 eV per atom

Cell and atoms, written as POSCAR:
```
Cu4SIBr2
1.0
6.676 0.000 0.000
0.000 6.979 0.000
0.000 0.000 7.934
S Cu Br I
2 8 4 2
Cartesian
0.025 1.183 0.000 S
3.363 5.796 3.967 S
5.868 2.260 6.208 Cu
2.530 4.719 2.241 Cu
2.530 4.719 5.693 Cu
5.868 2.260 1.726 Cu
2.645 0.903 3.967 Cu
2.223 1.213 0.000 Cu
5.561 5.765 3.967 Cu
5.983 6.076 0.000 Cu
0.017 4.643 5.953 Br
3.355 2.335 5.948 Br
3.355 2.335 1.986 Br
0.017 4.643 1.981 Br
3.366 5.816 0.000 I
0.028 1.163 3.967 I
```



# DyPaPdRu

DyPaPdRu after structural relaxation (PBE, the Alexandria database).

ΔH_f (0 K): -0.460 eV per atom

Cell and atoms, written as POSCAR:
```
DyPaPdRu
1.0
-4.307 2.018 1.171
-4.174 -2.202 -1.313
-2.841 -2.090 3.399
Ru Pd Dy Pa
1 1 1 1
Cartesian
-8.491 -1.706 2.443 Ru
-2.830 -0.569 0.814 Pd
0.000 0.000 0.000 Dy
-5.661 -1.137 1.629 Pa
```



# Al2Cu2Pd7

Al2Cu2Pd7 after structural relaxation (PBE, the Alexandria database).

ΔH_f (0 K): -0.145 eV per atom

Cell and atoms, written as POSCAR:
```
Al2Cu2Pd7
1.0
-2.243 4.833 -0.026
-6.195 -2.864 1.771
2.126 -1.786 4.547
Cu Pd Al
2 7 2
Cartesian
-7.252 0.173 2.985 Cu
0.940 0.010 3.307 Cu
0.000 0.000 0.000 Pd
-1.336 0.933 2.625 Pd
-0.918 -0.258 5.083 Pd
-5.452 1.964 3.469 Pd
-5.393 0.440 1.208 Pd
-0.859 -1.782 2.823 Pd
-4.976 -0.751 3.666 Pd
-3.126 -0.682 1.998 Al
-3.185 0.865 4.294 Al
```



# ErTlRu

ErTlRu after structural relaxation (PBE, the Alexandria database).

ΔH_f (0 K): -0.143 eV per atom

Cell and atoms, written as POSCAR:
```
ErTlRu
1.0
3.523 0.000 0.000
0.000 3.523 0.000
-1.762 -1.762 5.066
Ru Tl Er
1 1 1
Cartesian
0.000 0.000 2.903 Ru
1.762 1.762 1.321 Tl
1.762 1.762 4.388 Er
```



# LaY2Mg

LaY2Mg after structural relaxation (PBE, the Alexandria database).

ΔH_f (0 K): -0.010 eV per atom

Cell and atoms, written as POSCAR:
```
LaY2Mg
1.0
-6.719 -0.433 0.555
-5.537 -3.674 -1.219
-1.731 -3.004 4.336
La Y Mg
1 2 1
Cartesian
-6.745 -3.531 1.956 La
-3.553 -1.782 0.888 Y
-1.994 -3.034 4.215 Y
-10.419 -5.324 2.785 Mg
```



# Tb5Fe2Ag2

Tb5Fe2Ag2 after structural relaxation (PBE, the Alexandria database).

ΔH_f (0 K): -0.099 eV per atom

Cell and atoms, written as POSCAR:
```
Tb5Fe2Ag2
1.0
-3.301 2.739 -5.808
-2.415 -6.632 -1.756
-8.393 2.650 1.531
Tb Ag Fe
10 4 4
Cartesian
-2.858 -1.947 -3.782 Tb
-10.910 -1.224 -4.987 Tb
-8.178 1.983 -1.759 Tb
-3.957 -3.707 -1.134 Tb
-8.937 -1.705 -1.848 Tb
-5.931 -3.226 -4.273 Tb
-5.172 0.463 -4.185 Tb
-10.151 2.465 -4.899 Tb
-3.198 -0.019 -1.045 Tb
0.000 0.000 0.000 Tb
-5.407 2.083 -0.433 Ag
-5.844 -1.379 -1.818 Ag
-8.265 0.137 -4.215 Ag
-6.287 3.306 -3.844 Ag
-2.254 0.939 -3.697 Fe
-1.290 -2.316 -1.292 Fe
-3.462 -4.832 -3.867 Fe
-4.425 -1.577 -6.272 Fe
```



# KPb6O8

KPb6O8 after structural relaxation (PBE, the Alexandria database).

raw formation energy: -0.9616 eV per atom

Cell and atoms, written as POSCAR:
```
KPb6O8
1.0
-2.370 -3.930 6.630
5.379 -1.907 5.696
0.000 3.116 6.750
Pb O K
6 8 1
Cartesian
2.998 0.756 8.845 Pb
1.787 -1.236 12.202 Pb
1.222 -1.485 6.874 Pb
0.012 -3.477 10.231 Pb
3.942 -2.456 9.767 Pb
-0.932 -0.265 9.309 Pb
3.305 -1.276 7.877 O
-0.295 -1.445 11.199 O
0.857 0.445 8.013 O
0.726 -0.547 4.839 O
3.436 -0.477 10.760 O
2.284 -2.174 14.237 O
2.153 -3.166 11.062 O
-0.426 -2.244 8.315 O
0.000 0.000 0.000 K
```



# K2TeS

K2TeS after structural relaxation (PBE, the Alexandria database).

energy above the most stable polymorph in this dataset: 201 meV/atom
raw formation energy: -0.4849 eV per atom

Cell and atoms, written as POSCAR:
```
K2TeS
1.0
0.000 4.048 4.048
4.048 0.000 4.048
4.048 4.048 0.000
K S Te
2 1 1
Cartesian
6.073 6.073 6.073 K
2.024 2.024 2.024 K
0.000 0.000 0.000 S
4.048 4.048 4.048 Te
```



# NbBrCl2

NbBrCl2 after structural relaxation (PBE, the Alexandria database).

energy above the most stable polymorph in this dataset: 0 meV/atom
raw formation energy: -0.9409 eV per atom

Cell and atoms, written as POSCAR:
```
NbBrCl2
1.0
3.162 0.000 0.962
-0.025 5.155 0.082
-0.613 0.024 7.659
Br Cl Nb
1 2 1
Cartesian
2.536 2.602 8.661 Br
1.514 0.056 6.343 Cl
1.010 5.123 2.360 Cl
-0.613 0.025 7.659 Nb
```



no.,density of states at the Fermi level (states/eV per cell)
1,20.69
2,0.53
3,0.00
4,12.56
5,6.79
6,5.66
7,0.51
8,4.96
9,18.86
10,4.79
11,3.61
12,2.83